Entry 1:
DFT (PBE) results for a geometry-optimized LaSmNi2Sn4 structure.

Structure (POSCAR):
```
LaSmNi2Sn4
1.0
4.558 0.000 0.000
0.000 2.235 9.156
0.000 -2.235 9.156
La Sm Ni Sn
1 1 2 4
Cartesian
0.000 0.000 0.000 La
2.279 0.000 3.999 Sm
0.000 0.000 14.476 Ni
2.279 0.000 7.820 Ni
0.000 0.000 6.576 Sn
0.000 0.000 12.023 Sn
2.279 0.000 10.316 Sn
2.279 0.000 15.688 Sn
```

## Properties
- electronic total energy (eV per atom) = -5.213
- spin magnetization (μB per formula unit) = 0.000
- V (A^3/atom) = 23.32
- space group = Amm2, No. 38

Entry 2:
DFT (PBE) results for a geometry-optimized La2NiSn structure.

Structure (POSCAR):
```
La2NiSn
1.0
5.086 0.000 0.000
0.000 5.086 0.000
0.000 0.000 4.157
La Ni Sn
2 1 1
Cartesian
0.000 2.543 0.000 La
2.543 0.000 0.000 La
0.000 0.000 2.078 Ni
2.543 2.543 2.078 Sn
```

## Properties
- electronic total energy (eV per atom) = -5.233
- spin magnetization (μB per formula unit) = 0.003
- V (A^3/atom) = 26.88
- space group = P4/mmm, No. 123